Version P
VASP calculation (PBE-GGA) on a geometry-optimized LiUS3 structure.

a b c (Å): 5.152 5.152 5.152
angles (deg): 90.00 90.00 90.00
Element x y z (fractional)
Li  0.000  0.000  0.000
U  0.500  0.500  0.500
S  0.000  0.500  0.500
S  0.500  0.000  0.500
S  0.500  0.500  0.000

Version Q
VASP calculation (PBE-GGA) on a geometry-optimized LiUS3 structure.

a b c (Å): 7.100 7.100 10.564
angles (deg): 112.19 112.19 57.25
Element x y z (fractional)
Li  0.000  0.500  0.000
Li  0.203  0.797  0.750
Li  0.500  0.000  0.500
Li  0.797  0.203  0.250
U  0.220  0.448  0.374
U  0.448  0.220  0.874
U  0.552  0.780  0.126
U  0.780  0.552  0.626
S  0.048  0.233  0.781
S  0.226  0.670  0.970
S  0.232  0.401  0.627
S  0.233  0.048  0.281
S  0.330  0.774  0.530
S  0.401  0.232  0.127
S  0.599  0.768  0.873
S  0.670  0.226  0.470
S  0.767  0.952  0.719
S  0.768  0.599  0.373
S  0.774  0.330  0.030
S  0.952  0.767  0.219

Version R
VASP calculation (PBE-GGA) on a geometry-optimized LiUS3 structure.

a b c (Å): 6.552 6.552 6.879
angles (deg): 90.00 90.00 120.00
Element x y z (fractional)
Li  0.000  0.000  0.000
Li  0.000  0.000  0.500
U  0.333  0.667  0.000
U  0.333  0.667  0.500
S  0.055  0.344  0.250
S  0.055  0.711  0.750
S  0.289  0.344  0.750
S  0.289  0.945  0.250
S  0.656  0.711  0.250
S  0.656  0.945  0.750

The structure with the greatest stability is version Q.

Version P
VASP calculation (PBE-GGA) on a geometry-optimized LiVS3 structure.

a b c (Å): 4.373 4.373 4.373
angles (deg): 90.00 90.00 90.00
Element x y z (fractional)
Li  0.000  0.000  0.000
V  0.500  0.500  0.500
S  0.000  0.000  0.500
S  0.000  0.500  0.000
S  0.500  0.000  0.000

Version Q
VASP calculation (PBE-GGA) on a geometry-optimized LiVS3 structure.

a b c (Å): 5.889 6.653 6.782
angles (deg): 113.47 112.72 91.49
Element x y z (fractional)
Li  0.240  0.309  0.222
Li  0.760  0.691  0.778
V  0.283  0.066  0.567
V  0.717  0.934  0.433
S  0.048  0.923  0.723
S  0.371  0.353  0.939
S  0.406  0.736  0.453
S  0.594  0.264  0.547
S  0.629  0.647  0.061
S  0.952  0.077  0.277

The structure with the greatest stability is version Q.

Version P
VASP calculation (PBE-GGA) on a geometry-optimized LiVS3 structure.

a b c (Å): 8.107 8.107 6.063
angles (deg): 90.54 90.54 80.90
Element x y z (fractional)
Li  0.103  0.897  0.750
Li  0.332  0.668  0.250
Li  0.668  0.332  0.750
Li  0.897  0.103  0.250
V  0.152  0.317  0.923
V  0.317  0.152  0.423
V  0.683  0.848  0.577
V  0.848  0.683  0.077
S  0.060  0.201  0.598
S  0.118  0.621  0.958
S  0.201  0.060  0.098
S  0.358  0.359  0.679
S  0.359  0.358  0.179
S  0.379  0.882  0.542
S  0.621  0.118  0.458
S  0.641  0.642  0.821
S  0.642  0.641  0.321
S  0.799  0.940  0.902
S  0.882  0.379  0.042
S  0.940  0.799  0.402

Version Q
VASP calculation (PBE-GGA) on a geometry-optimized LiVS3 structure.

a b c (Å): 4.609 4.609 4.609
angles (deg): 90.00 90.00 90.00
Element x y z (fractional)
Li  0.000  0.000  0.000
V  0.500  0.500  0.500
S  0.000  0.500  0.500
S  0.500  0.000  0.500
S  0.500  0.500  0.000

The structure with the greatest stability is version P.

Version P
VASP calculation (PBE-GGA) on a geometry-optimized Li2V3S6 structure.

a b c (Å): 5.596 5.596 14.913
angles (deg): 90.00 90.00 120.00
Element x y z (fractional)
Li  0.333  0.667  0.000
Li  0.333  0.667  0.500
Li  0.667  0.333  0.000
Li  0.667  0.333  0.500
V  0.000  0.326  0.250
V  0.000  0.674  0.750
V  0.326  0.000  0.250
V  0.326  0.326  0.750
V  0.674  0.000  0.750
V  0.674  0.674  0.250
S  0.000  0.000  0.150
S  0.000  0.000  0.350
S  0.000  0.000  0.650
S  0.000  0.000  0.850
S  0.333  0.667  0.154
S  0.333  0.667  0.346
S  0.333  0.667  0.654
S  0.333  0.667  0.846
S  0.667  0.333  0.154
S  0.667  0.333  0.346
S  0.667  0.333  0.654
S  0.667  0.333  0.846

Version Q
VASP calculation (PBE-GGA) on a geometry-optimized Li2V3S6 structure.

a b c (Å): 5.741 5.741 6.556
angles (deg): 97.72 97.72 120.30
Element x y z (fractional)
Li  0.175  0.825  0.000
Li  0.825  0.175  0.000
V  0.000  0.000  0.500
V  0.351  0.649  0.500
V  0.649  0.351  0.500
S  0.065  0.404  0.722
S  0.258  0.258  0.261
S  0.404  0.065  0.722
S  0.596  0.935  0.278
S  0.742  0.742  0.739
S  0.935  0.596  0.278

The structure with the greatest stability is version Q.

Version P
VASP calculation (PBE-GGA) on a geometry-optimized LiV3S structure.

a b c (Å): 4.107 4.107 4.107
angles (deg): 90.00 90.00 90.00
Element x y z (fractional)
Li  0.000  0.000  0.000
V  0.000  0.000  0.500
V  0.000  0.500  0.000
V  0.500  0.000  0.000
S  0.500  0.500  0.500

Version Q
VASP calculation (PBE-GGA) on a geometry-optimized LiV3S structure.

a b c (Å): 4.351 4.351 4.351
angles (deg): 90.00 90.00 90.00
Element x y z (fractional)
Li  0.000  0.000  0.000
V  0.000  0.500  0.500
V  0.500  0.000  0.500
V  0.500  0.500  0.000
S  0.500  0.500  0.500

The structure with the greatest stability is version Q.

Version P
VASP calculation (PBE-GGA) on a geometry-optimized LiWS3 structure.

a b c (Å): 4.287 4.287 4.287
angles (deg): 90.00 90.00 90.00
Element x y z (fractional)
Li  0.000  0.000  0.000
W  0.500  0.500  0.500
S  0.000  0.000  0.500
S  0.000  0.500  0.000
S  0.500  0.000  0.000

Version Q
VASP calculation (PBE-GGA) on a geometry-optimized LiWS3 structure.

a b c (Å): 4.712 4.712 4.712
angles (deg): 90.00 90.00 90.00
Element x y z (fractional)
Li  0.000  0.000  0.000
W  0.500  0.500  0.500
S  0.000  0.500  0.500
S  0.500  0.000  0.500
S  0.500  0.500  0.000

Version R
VASP calculation (PBE-GGA) on a geometry-optimized LiWS3 structure.

a b c (Å): 7.181 7.181 8.600
angles (deg): 108.08 108.08 31.09
Element x y z (fractional)
Li  0.122  0.122  0.448
Li  0.878  0.878  0.552
W  0.339  0.339  0.145
W  0.661  0.661  0.855
S  0.143  0.143  0.997
S  0.284  0.284  0.364
S  0.494  0.494  0.710
S  0.506  0.506  0.290
S  0.716  0.716  0.636
S  0.857  0.857  0.003

The structure with the greatest stability is version R.